## CaInW2 (PBE-GGA)

Data for a relaxed structure of CaInW2.

Cell lengths 5.7413, 9.7383, 2.8014 Å; angles 90.00, 90.00, 90.00 degrees
Space group Cmmm (No. 65)
Symmetry-distinct sites (fractional):
Ca (0.0000, 0.0000, 0.0000) x2
In (0.0000, 0.5000, 0.0000) x2
W (0.2500, 0.2500, 0.5000) x4

Calculated values
* DFT total energy: -6.831 eV per atom
* crystal system: orthorhombic

## CaInW4 (PBE-GGA)

Data for a relaxed structure of CaInW4.

Cell lengths 7.7417, 7.7417, 7.7417 Å; angles 90.00, 90.00, 90.00 degrees
Space group F-43m (No. 216)
Symmetry-distinct sites (fractional):
Ca (0.0000, 0.0000, 0.0000) x4
In (0.2500, 0.2500, 0.7500) x4
W (0.1252, 0.1252, 0.3748) x16

Calculated values
* DFT total energy: -8.877 eV per atom
* crystal system: cubic

## Ca3InW (PBE-GGA)

Data for a relaxed structure of Ca3InW.

Cell lengths 5.5483, 5.5483, 5.5483 Å; angles 90.00, 90.00, 90.00 degrees
Space group Pm-3m (No. 221)
Symmetry-distinct sites (fractional):
Ca (0.0000, 0.0000, 0.5000) x3
In (0.5000, 0.5000, 0.5000) x1
W (0.0000, 0.0000, 0.0000) x1

Calculated values
* DFT total energy: -3.443 eV per atom
* crystal system: cubic

## CaInW2 (PBE-GGA)

Data for a relaxed structure of CaInW2.

Cell lengths 2.8312, 2.8312, 9.8093 Å; angles 90.00, 90.00, 90.00 degrees
Space group P4/mmm (No. 123)
Symmetry-distinct sites (fractional):
Ca (0.0000, 0.0000, 0.0000) x1
In (0.0000, 0.0000, 0.5000) x1
W (0.5000, 0.5000, 0.2686) x2

Calculated values
* DFT total energy: -6.858 eV per atom
* crystal system: tetragonal

Results for total magnetization: 0.00; 0.00; 0.91; 0.00 (in μB/cell, following the order of the records).